1.
VASP calculation (PBE) on a relaxed structure of ReC2.

Lattice parameters (Å, degrees): 2.9621 2.9621 4.5064 90.00 90.00 120.00
With the nearest neighbours (Å) after each atom.
Space group P-3m1 (No. 164)
Asymmetric unit:
Re1 0.0000 0.0000 0.0000 x1  6 C 2.08
C1 0.3333 0.6667 0.2630 x2  3 Re 2.08

Computed properties:
**Theoretical density**: 10195 kg/m3
**Electronic total energy**: -8.508 eV per atom

***

2.
VASP calculation (PBE) on a relaxed structure of ZrNi2P.

Lattice parameters (Å, degrees): 4.0232 4.0232 15.2556 90.00 90.00 90.00
With the nearest neighbours (Å) after each atom.
Space group I-42d (No. 122)
Asymmetric unit:
Zr1 0.0000 0.0000 0.0000 x4  4 Ni 2.56, 4 P 2.84
Ni1 0.1549 0.2500 0.6250 x8  2 P 2.24, 2 Ni 2.37
P1 0.0000 0.0000 0.5000 x4  4 Ni 2.24

Computed properties:
**Theoretical density**: 6445 kg/m3
**Electronic total energy**: -6.783 eV per atom

***

3.
VASP calculation (PBE) on a relaxed structure of MgBeSb2.

Lattice parameters (Å, degrees): 3.5462 3.5462 7.6150 90.00 90.00 90.00
With the nearest neighbours (Å) after each atom.
Space group P4mm (No. 99)
Asymmetric unit:
Mg1 0.0000 0.0000 0.0000 x1  5 Sb 2.76-2.89, 4 Be 2.90
Be1 0.5000 0.5000 0.8086 x1  5 Sb 2.83-2.90, 4 Mg 2.90
Sb1 0.0000 0.0000 0.6376 x1  1 Mg 2.76, 4 Be 2.83
Sb2 0.5000 0.5000 0.1896 x1  4 Mg 2.89, 1 Be 2.90

Computed properties:
**Theoretical density**: 4800 kg/m3
**Electronic total energy**: -3.189 eV per atom

***

4.
VASP calculation (PBE) on a relaxed structure of Cs2KN.

Lattice parameters (Å, degrees): 7.9763 7.9763 7.9763 90.00 90.00 90.00
With the nearest neighbours (Å) after each atom.
Space group Fm-3m (No. 225)
Asymmetric unit:
Cs1 0.2500 0.2500 0.2500 x8  4 K 3.45, 4 N 3.45
K1 0.0000 0.0000 0.0000 x4  8 Cs 3.45
N1 0.0000 0.0000 0.5000 x4  8 Cs 3.45

Computed properties:
**Theoretical density**: 4174 kg/m3
**Electronic total energy**: -1.905 eV per atom

***

5.
VASP calculation (PBE) on a relaxed structure of Pu2ScGa.

Lattice parameters (Å, degrees): 7.2306 7.2306 7.2306 90.00 90.00 90.00
With the nearest neighbours (Å) after each atom.
Space group Fm-3m (No. 225)
Asymmetric unit:
Pu1 0.2500 0.2500 0.2500 x8  4 Sc 3.13, 4 Ga 3.13
Sc1 0.0000 0.0000 0.0000 x4  8 Pu 3.13
Ga1 0.0000 0.0000 0.5000 x4  8 Pu 3.13

Computed properties:
**Theoretical density**: 10589 kg/m3
**Electronic total energy**: -9.479 eV per atom

***

6.
VASP calculation (PBE) on a relaxed structure of CdIrOsCl2.

Lattice parameters (Å, degrees): 4.7107 4.7107 5.7718 90.00 90.00 90.00
With the nearest neighbours (Å) after each atom.
Space group P4/mmm (No. 123)
Asymmetric unit:
Cd1 0.0000 0.0000 0.0000 x1  4 Cl 2.36
Ir1 0.0000 0.0000 0.5000 x1  2 Cd 2.89
Os1 0.5000 0.5000 0.5000 x1  4 Ir 3.33, 8 Cl 3.73
Cl1 0.0000 0.5000 0.0000 x2  2 Cd 2.36

Computed properties:
**Theoretical density**: 7335 kg/m3
**Electronic total energy**: -3.178 eV per atom

***

7.
VASP calculation (PBE) on a relaxed structure of ZrTiVCo2.

Lattice parameters (Å, degrees): 4.2977 4.2977 4.3900 90.00 90.00 90.00
With the nearest neighbours (Å) after each atom.
Space group P4/mmm (No. 123)
Asymmetric unit:
Zr1 0.0000 0.0000 0.0000 x1  4 Ti 3.04, 8 Co 3.07
Ti1 0.5000 0.5000 0.0000 x1  2 V 2.19
V1 0.5000 0.5000 0.5000 x1  4 Co 2.15, 2 Ti 2.19
Co1 0.0000 0.5000 0.5000 x2  2 V 2.15

Computed properties:
**Theoretical density**: 6306 kg/m3
**Electronic total energy**: -7.460 eV per atom

***

8.
VASP calculation (PBE) on a relaxed structure of MgPb3Se.

Lattice parameters (Å, degrees): 5.7059 5.7059 5.7059 90.00 90.00 90.00
With the nearest neighbours (Å) after each atom.
Space group Pm-3m (No. 221)
Asymmetric unit:
Mg1 0.0000 0.0000 0.0000 x1  12 Pb 4.03
Pb1 0.0000 0.5000 0.5000 x3  2 Se 2.85
Se1 0.5000 0.5000 0.5000 x1  6 Pb 2.85

Computed properties:
**Theoretical density**: 6479 kg/m3
**Electronic total energy**: -2.967 eV per atom

***

9.
VASP calculation (PBE) on a relaxed structure of CsSBr2F.

Lattice parameters (Å, degrees): 4.8973 4.8973 7.8277 90.00 90.00 90.00
With the nearest neighbours (Å) after each atom.
Space group P4/mmm (No. 123)
Asymmetric unit:
Cs1 0.0000 0.0000 0.0000 x1  4 F 3.46
S1 0.0000 0.0000 0.5000 x1  4 Br 2.45
Br1 0.0000 0.5000 0.5000 x2  2 S 2.45
F1 0.5000 0.5000 0.0000 x1  4 Cs 3.46

Computed properties:
**Theoretical density**: 3041 kg/m3
**Electronic total energy**: -2.785 eV per atom

***

10.
VASP calculation (PBE) on a relaxed structure of ScMnRu2.

Lattice parameters (Å, degrees): 7.0029 7.0029 5.2528 90.00 90.00 90.00
With the nearest neighbours (Å) after each atom.
Space group I-42d (No. 122)
Asymmetric unit:
Sc1 0.0000 0.0000 0.0000 x4  2 Mn 2.63, 4 Ru 2.85
Mn1 0.0000 0.0000 0.5000 x4  4 Ru 2.30
Ru1 0.1923 0.2500 0.6250 x8  2 Mn 2.30

Computed properties:
**Theoretical density**: 7788 kg/m3
**Electronic total energy**: -8.271 eV per atom

***

11.
VASP calculation (PBE) on a relaxed structure of LaSm3Fe.

Lattice parameters (Å, degrees): 5.4094 5.4094 5.4094 90.00 90.00 90.00
With the nearest neighbours (Å) after each atom.
Space group Pm-3m (No. 221)
Asymmetric unit:
La1 0.0000 0.0000 0.0000 x1  12 Sm 3.82
Sm1 0.0000 0.5000 0.5000 x3  2 Fe 2.70
Fe1 0.5000 0.5000 0.5000 x1  6 Sm 2.70

Computed properties:
**Theoretical density**: 6775 kg/m3
**Electronic total energy**: -5.344 eV per atom

***

12.
VASP calculation (PBE) on a relaxed structure of MnTlSbI6.

Lattice parameters (Å, degrees): 7.6854 7.6854 7.7069 90.00 90.00 120.00
With the nearest neighbours (Å) after each atom.
Space group P312 (No. 149)
Asymmetric unit:
Mn1 0.0000 0.0000 0.0000 x1  6 I 2.91
Tl1 0.6667 0.3333 0.5000 x1  6 I 3.55
Sb1 0.3333 0.6667 0.0000 x1  6 I 3.05
I1 0.0270 0.3191 0.2219 x6  1 Mn 2.91, 1 Sb 3.05

Computed properties:
**Theoretical density**: 4812 kg/m3
**Electronic total energy**: -3.203 eV per atom

***

13.
VASP calculation (PBE) on a relaxed structure of Ho5Tl2Ir2.

Lattice parameters (Å, degrees): 16.3000 7.6501 7.5469 90.00 90.00 90.00
With the nearest neighbours (Å) after each atom.
Space group Cmce (No. 64)
Asymmetric unit:
Ho1 0.0000 0.0000 0.0000 x4  4 Ir 2.92-2.98
Ho2 0.1139 0.1672 0.3374 x16  3 Ir 2.83-2.97
Tl1 0.2194 0.0000 0.0000 x8  7 Ho 3.25-3.58
Ir1 0.0000 0.1349 0.6373 x8  8 Ho 2.83-2.98, 1 Ir 2.92

Computed properties:
**Theoretical density**: 11419 kg/m3
**Electronic total energy**: -5.648 eV per atom

***

14.
VASP calculation (PBE) on a relaxed structure of Pu2TiSe6.

Lattice parameters (Å, degrees): 6.4791 6.4791 12.0821 90.00 90.00 90.00
With the nearest neighbours (Å) after each atom.
Space group P4_2/mnm (No. 136)
Asymmetric unit:
Pu1 0.0000 0.0000 0.1723 x4  6 Se 2.80-2.83
Ti1 0.0000 0.0000 0.5000 x2  6 Se 2.53-2.67
Se1 0.1940 0.1940 0.3514 x8  1 Ti 2.53, 2 Pu 2.80-2.82
Se2 0.2084 0.2084 0.0000 x4  1 Ti 2.67, 2 Pu 2.83

Computed properties:
**Theoretical density**: 6611 kg/m3
**Electronic total energy**: -7.413 eV per atom

***

15.
VASP calculation (PBE) on a relaxed structure of LaTb2Pr9.

Lattice parameters (Å, degrees): 5.2193 5.2193 15.6821 90.00 90.00 90.00
With the nearest neighbours (Å) after each atom.
Space group P4/mmm (No. 123)
Asymmetric unit:
La1 0.0000 0.0000 0.0000 x1  12 Pr 3.69-3.73
Tb1 0.0000 0.0000 0.3345 x2  12 Pr 3.67-3.69
Pr1 0.0000 0.5000 0.1696 x4  2 Tb 3.67, 8 Pr 3.69-3.73, 2 La 3.73
Pr2 0.0000 0.5000 0.5000 x2  8 Pr 3.67-3.69, 4 Tb 3.68
Pr3 0.5000 0.5000 0.0000 x1  4 La 3.69, 8 Pr 3.73
Pr4 0.5000 0.5000 0.3356 x2  8 Pr 3.67-3.69, 4 Tb 3.69

Computed properties:
**Theoretical density**: 6705 kg/m3
**Electronic total energy**: -4.752 eV per atom

***

16.
VASP calculation (PBE) on a relaxed structure of CdCoAg2.

Lattice parameters (Å, degrees): 3.8784 3.8784 19.5718 90.00 90.00 90.00
With the nearest neighbours (Å) after each atom.
Space group I-42d (No. 122)
Asymmetric unit:
Cd1 0.0000 0.0000 0.0000 x4  4 Co 2.74, 4 Ag 2.81
Co1 0.0000 0.0000 0.5000 x4  4 Cd 2.74, 4 Ag 2.80
Ag1 0.2433 0.2500 0.6250 x8  4 Ag 2.71-2.78, 2 Co 2.80, 2 Cd 2.81

Computed properties:
**Theoretical density**: 8733 kg/m3
**Electronic total energy**: -2.932 eV per atom

***

17.
VASP calculation (PBE) on a relaxed structure of Cs2AcScSe4.

Lattice parameters (Å, degrees): 7.5610 4.3700 8.7475 90.00 106.61 90.00
With the nearest neighbours (Å) after each atom.
Space group P2/m (No. 10)
Asymmetric unit:
Cs1 0.0000 0.0000 0.0000 x1  6 Se 3.75-3.78
Cs2 0.5000 0.5000 0.0000 x1  6 Se 3.55
Ac1 0.0000 0.5000 0.5000 x1  6 Se 3.09-3.10
Sc1 0.5000 0.0000 0.5000 x1  6 Se 2.79-2.87
Se1 0.2602 0.0000 0.6904 x2  1 Sc 2.79, 2 Ac 3.09
Se2 0.2979 0.5000 0.3196 x2  2 Sc 2.87, 1 Ac 3.10

Computed properties:
**Theoretical density**: 5118 kg/m3
**Electronic total energy**: -4.901 eV per atom

***

18.
VASP calculation (PBE) on a relaxed structure of La2CePuTc2.

Lattice parameters (Å, degrees): 7.2417 12.4615 7.1996 90.00 90.00 90.00
With the nearest neighbours (Å) after each atom.
Space group Ibam (No. 72)
Asymmetric unit:
La1 0.2088 0.1952 0.0000 x8  2 Tc 3.00-3.26
Ce1 0.0000 0.5000 0.2500 x4  4 Tc 2.71
Pu1 0.0000 0.0000 0.2500 x4  4 Tc 2.65
Tc1 0.2434 0.0656 0.5000 x8  2 Pu 2.65, 2 Ce 2.71

Computed properties:
**Theoretical density**: 8771 kg/m3
**Electronic total energy**: -8.442 eV per atom

***

19.
VASP calculation (PBE) on a relaxed structure of LiScCr2.

Lattice parameters (Å, degrees): 3.0269 3.0269 7.1926 90.00 90.00 90.00
With the nearest neighbours (Å) after each atom.
Space group P4mm (No. 99)
Asymmetric unit:
Li1 0.0000 0.0000 0.0000 x1  5 Cr 2.81-2.96, 4 Li 3.03
Sc1 0.5000 0.5000 0.3352 x1  5 Cr 2.81-2.96, 4 Sc 3.03
Cr1 0.0000 0.0000 0.5879 x1  4 Cr 2.43
Cr2 0.5000 0.5000 0.7467 x1  4 Cr 2.43

Computed properties:
**Theoretical density**: 3928 kg/m3
**Electronic total energy**: -6.607 eV per atom

***

20.
VASP calculation (PBE) on a relaxed structure of K3ZrNi.

Lattice parameters (Å, degrees): 6.1191 6.1191 6.1191 90.00 90.00 90.00
With the nearest neighbours (Å) after each atom.
Space group Pm-3m (No. 221)
Asymmetric unit:
K1 0.0000 0.0000 0.5000 x3  2 Ni 3.06
Zr1 0.5000 0.5000 0.5000 x1  12 K 4.33
Ni1 0.0000 0.0000 0.0000 x1  6 K 3.06

Computed properties:
**Theoretical density**: 1937 kg/m3
**Electronic total energy**: -2.247 eV per atom